# PBE Nd3AsI3, optimized geometry
data_Nd3AsI3
_chemical_formula_sum 'Nd6 As2 I6'
_cell_length_a 9.165
_cell_length_b 4.316
_cell_length_c 12.514
_cell_angle_alpha 90.00
_cell_angle_beta 90.41
_cell_angle_gamma 90.00
_space_group_name_H-M_alt 'P 1 21/m 1'
_space_group_IT_number 11
loop_
_space_group_symop_operation_xyz
'x,y,z'
'-x,-y,-z'
'-x,y+1/2,-z'
'x,-y+1/2,z'
loop_
_atom_site_label
_atom_site_type_symbol
_atom_site_fract_x
_atom_site_fract_y
_atom_site_fract_z
_atom_site_occupancy
Nd1 Nd 0.093 0.250 0.115 1
Nd2 Nd 0.120 0.250 0.655 1
Nd3 Nd 0.329 0.750 0.874 1
As1 As 0.120 0.250 0.884 1
I1 I 0.139 0.250 0.381 1
I2 I 0.373 0.750 0.622 1
I3 I 0.382 0.750 0.134 1
# Uncorrected formation energy ... -1.34 eV per atom
# M_tot ... 0.00 μB/cell
# DOS at the Fermi energy ... 3.76 states/eV/f.u.



# PBE ScZn2Cu2, optimized geometry
data_ScZn2Cu2
_chemical_formula_sum 'Sc2 Zn4 Cu4'
_cell_length_a 4.770
_cell_length_b 4.308
_cell_length_c 7.967
_cell_angle_alpha 90.00
_cell_angle_beta 103.95
_cell_angle_gamma 90.00
_space_group_name_H-M_alt 'P 1 21/m 1'
_space_group_IT_number 11
loop_
_space_group_symop_operation_xyz
'x,y,z'
'-x,-y,-z'
'-x,y+1/2,-z'
'x,-y+1/2,z'
loop_
_atom_site_label
_atom_site_type_symbol
_atom_site_fract_x
_atom_site_fract_y
_atom_site_fract_z
_atom_site_occupancy
Sc1 Sc 0.185 0.250 0.265 1
Zn1 Zn 0.226 0.250 0.636 1
Zn2 Zn 0.383 0.750 0.033 1
Cu1 Cu 0.090 0.250 0.916 1
Cu2 Cu 0.324 0.750 0.470 1
# M_tot ... 0.00 μB/cell
# DOS at the Fermi energy ... 2.52 states/eV/f.u.
# Formation enthalpy at 0 K ... -0.194 eV per atom
# Offset from the most stable computed form ... 0 meV/atom



# PBE Pa2NbCo9, optimized geometry
data_Pa2NbCo9
_chemical_formula_sum 'Pa2 Nb1 Co9'
_cell_length_a 3.770
_cell_length_b 3.770
_cell_length_c 11.189
_cell_angle_alpha 90.00
_cell_angle_beta 90.00
_cell_angle_gamma 90.00
_space_group_name_H-M_alt 'P 4/m m m'
_space_group_IT_number 123
_space_group_name_Hall '-P 4 2'
loop_
_atom_site_label
_atom_site_type_symbol
_atom_site_fract_x
_atom_site_fract_y
_atom_site_fract_z
_atom_site_occupancy
Pa1 Pa 0.000 0.000 0.172 1
Nb1 Nb 0.000 0.000 0.500 1
Co1 Co 0.000 0.500 0.000 1
Co2 Co 0.000 0.500 0.343 1
Co3 Co 0.500 0.500 0.172 1
Co4 Co 0.500 0.500 0.500 1
# M_tot ... 4.50 μB/cell
# DOS at the Fermi energy ... 10.63 states/eV/f.u.
# Formation enthalpy at 0 K ... -0.265 eV per atom
# Offset from the most stable computed form ... 0 meV/atom



# PBE CsSn6Cl12, optimized geometry
data_CsSn6Cl12
_chemical_formula_sum 'Cs3 Sn18 Cl36'
_cell_length_a 14.7866
_cell_length_b 14.7866
_cell_length_c 9.6787
_cell_angle_alpha 90.00
_cell_angle_beta 90.00
_cell_angle_gamma 120.00
_space_group_name_H-M_alt 'R -3'
_space_group_IT_number 148
_space_group_name_Hall '-R 3'
loop_
_atom_site_label
_atom_site_type_symbol
_atom_site_fract_x
_atom_site_fract_y
_atom_site_fract_z
_atom_site_occupancy
Cs1 Cs 0.0000 0.0000 0.0000 1
Sn1 Sn 0.0859 0.8432 0.6517 1
Cl1 Cl 0.0474 0.8781 0.3206 1
Cl2 Cl 0.0510 0.7917 0.9206 1
# Uncorrected formation energy ... -1.01 eV per atom
# M_tot ... 0.00 μB/cell
# DOS at the Fermi energy ... 6.87 states/eV/f.u.



# PBE PS, optimized geometry
data_PS
_chemical_formula_sum 'P2 S2'
_cell_length_a 4.251
_cell_length_b 3.597
_cell_length_c 6.080
_cell_angle_alpha 90.00
_cell_angle_beta 101.53
_cell_angle_gamma 90.00
_space_group_name_H-M_alt 'P 1 21/m 1'
_space_group_IT_number 11
loop_
_space_group_symop_operation_xyz
'x,y,z'
'-x,-y,-z'
'-x,y+1/2,-z'
'x,-y+1/2,z'
loop_
_atom_site_label
_atom_site_type_symbol
_atom_site_fract_x
_atom_site_fract_y
_atom_site_fract_z
_atom_site_occupancy
P1 P 0.193 0.250 0.043 1
S1 S 0.366 0.250 0.755 1
# Uncorrected formation energy ... 0.08 eV per atom
# M_tot ... 0.00 μB/cell
# DOS at the Fermi energy ... 0.51 states/eV/f.u.
# Offset from the most stable computed form ... 221 meV/atom



# PBE Tl12Te5Se2, optimized geometry
data_Tl12Te5Se2
_chemical_formula_sum 'Tl24 Te10 Se4'
_cell_length_a 19.086
_cell_length_b 8.507
_cell_length_c 9.538
_cell_angle_alpha 90.00
_cell_angle_beta 109.29
_cell_angle_gamma 90.00
_space_group_name_H-M_alt 'C 1 2/m 1'
_space_group_IT_number 12
loop_
_space_group_symop_operation_xyz
'x,y,z'
'-x,-y,-z'
'-x,y,-z'
'x,-y,z'
'x+1/2,y+1/2,z'
'-x+1/2,-y+1/2,-z'
'-x+1/2,y+1/2,-z'
'x+1/2,-y+1/2,z'
loop_
_atom_site_label
_atom_site_type_symbol
_atom_site_fract_x
_atom_site_fract_y
_atom_site_fract_z
_atom_site_occupancy
Tl1 Tl 0.008 0.000 0.244 1
Tl2 Tl 0.070 0.500 0.222 1
Tl3 Tl 0.145 0.253 0.552 1
Tl4 Tl 0.171 0.236 0.078 1
Te1 Te 0.000 0.500 0.500 1
Te2 Te 0.177 0.000 0.816 1
Te3 Te 0.218 0.000 0.363 1
Se1 Se 0.000 0.242 0.000 1
# Uncorrected formation energy ... -0.26 eV per atom
# M_tot ... 0.00 μB/cell
# DOS at the Fermi energy ... 6.37 states/eV/f.u.
# Offset from the most stable computed form ... 0 meV/atom



# PBE Rb3Cl2O, optimized geometry
data_Rb3Cl2O
_chemical_formula_sum 'Rb6 Cl4 O2'
_cell_length_a 6.523
_cell_length_b 13.424
_cell_length_c 4.608
_cell_angle_alpha 90.00
_cell_angle_beta 90.00
_cell_angle_gamma 90.00
_space_group_name_H-M_alt 'P n n m'
_space_group_IT_number 58
loop_
_space_group_symop_operation_xyz
'x,y,z'
'-x,-y,-z'
'-x,-y,z'
'x,y,-z'
'x+1/2,-y+1/2,-z+1/2'
'-x+1/2,y+1/2,z+1/2'
'-x+1/2,y+1/2,-z+1/2'
'x+1/2,-y+1/2,z+1/2'
loop_
_atom_site_label
_atom_site_type_symbol
_atom_site_fract_x
_atom_site_fract_y
_atom_site_fract_z
_atom_site_occupancy
Rb1 Rb 0.000 0.000 0.000 1
Rb2 Rb 0.005 0.353 0.000 1
Cl1 Cl 0.005 0.173 0.500 1
O1 O 0.000 0.500 0.500 1
# Uncorrected formation energy ... -1.47 eV per atom
# M_tot ... 2.00 μB/cell



# PBE CaY2Ta, optimized geometry
data_CaY2Ta
_chemical_formula_sum 'Ca2 Y4 Ta2'
_cell_length_a 11.045
_cell_length_b 3.290
_cell_length_c 6.339
_cell_angle_alpha 90.00
_cell_angle_beta 97.23
_cell_angle_gamma 90.00
_space_group_name_H-M_alt 'C 1 m 1'
_space_group_IT_number 8
loop_
_space_group_symop_operation_xyz
'x,y,z'
'x,-y,z'
'x+1/2,y+1/2,z'
'x+1/2,-y+1/2,z'
loop_
_atom_site_label
_atom_site_type_symbol
_atom_site_fract_x
_atom_site_fract_y
_atom_site_fract_z
_atom_site_occupancy
Ca1 Ca 0.000 0.000 0.000 1
Y1 Y 0.020 0.500 0.546 1
Y2 Y 0.262 0.500 0.286 1
Ta1 Ta 0.257 0.000 0.715 1
# M_tot ... 0.00 μB/cell
# DOS at the Fermi energy ... 4.57 states/eV/f.u.
# Formation enthalpy at 0 K ... 0.461 eV per atom
# Offset from the most stable computed form ... 170 meV/atom



# PBE Sc2Os3, optimized geometry
data_Sc2Os3
_chemical_formula_sum 'Sc16 Os24'
_cell_length_a 8.747
_cell_length_b 15.952
_cell_length_c 5.272
_cell_angle_alpha 90.00
_cell_angle_beta 90.00
_cell_angle_gamma 90.00
_space_group_name_H-M_alt 'F d d 2'
_space_group_IT_number 43
_space_group_name_Hall 'F 2 -2d'
loop_
_atom_site_label
_atom_site_type_symbol
_atom_site_fract_x
_atom_site_fract_y
_atom_site_fract_z
_atom_site_occupancy
Sc1 Sc 0.076 0.294 0.000 1
Os1 Os 0.000 0.000 0.275 1
Os2 Os 0.073 0.374 0.501 1
# M_tot ... 0.00 μB/cell
# DOS at the Fermi energy ... 5.18 states/eV/f.u.
# Formation enthalpy at 0 K ... -0.141 eV per atom
# Offset from the most stable computed form ... 9 meV/atom



So what do the calculations give for calculated volume? Going down the list: 35.36; 15.89; 13.25; 32.15; 22.78; 38.46; 33.63; 28.57; 18.39 Å³ per atom.